(1)
SrAl2Cu3 | PBE | optimized geometry

Cell: 6.507 6.507 5.259 Å, 90.00 90.00 77.17°
Fractional coordinates of all 12 atoms:
Sr 0.179 0.821 0.750
Sr 0.821 0.179 0.250
Al 0.295 0.295 0.000
Al 0.295 0.295 0.500
Al 0.705 0.705 0.000
Al 0.705 0.705 0.500
Cu 0.035 0.578 0.250
Cu 0.422 0.965 0.250
Cu 0.425 0.575 0.250
Cu 0.575 0.425 0.750
Cu 0.578 0.035 0.750
Cu 0.965 0.422 0.750

Calculated values
**E**: -3.65 eV per atom

=====

(2)
SrAlCu | PBE | optimized geometry

Cell: 4.778 4.778 4.778 Å, 60.00 60.00 60.00°
Fractional coordinates of all 3 atoms:
Sr 0.000 0.000 0.000
Al 0.500 0.500 0.500
Cu 0.750 0.750 0.750

Calculated values
**E**: -2.94 eV per atom

=====

(3)
SrAl2Cu2 | PBE | optimized geometry

Cell: 6.259 6.259 6.259 Å, 140.65 140.65 56.87°
Fractional coordinates of all 5 atoms:
Sr 0.000 0.000 0.000
Al 0.250 0.750 0.500
Al 0.750 0.250 0.500
Cu 0.377 0.377 0.000
Cu 0.623 0.623 0.000

Calculated values
**E**: -3.56 eV per atom

=====

(4)
SrTbAl2Cu4 | PBE | optimized geometry

Cell: 4.294 4.294 9.653 Å, 90.00 90.00 120.00°
Fractional coordinates of all 8 atoms:
Sr 0.000 0.000 0.000
Tb 0.667 0.333 0.500
Al 0.333 0.667 0.274
Al 0.333 0.667 0.726
Cu 0.000 0.000 0.318
Cu 0.000 0.000 0.682
Cu 0.667 0.333 0.214
Cu 0.667 0.333 0.786

Calculated values
**E**: -3.86 eV per atom